Record 1
{
  "formula": "K2Rh",
  "functional": "PBE-GGA",
  "state": "relaxed",
  "energy_ev_per_cell": -7.5,
  "de_polymorph_ev_per_atom": 0.325,
  "spacegroup": "I4/mmm",
  "dos_ef_per_ev_cell": 4.56,
  "formation_enthalpy_0k_mev_per_atom": 678,
  "total_magnetization_mub_per_fu": 0.2,
  "lattice_angstrom": [[-7.4762, 4.3127, -0.0955], [-8.6046, -0.6016, -0.3180], [7.9538, -1.9498, 2.7270]],
  "species": ["Rh", "K", "K"],
  "frac_coords": [[0.0000, 0.0000, 0.0000], [0.3798, 0.3798, 0.0000], [0.6202, 0.6202, 0.0000]]
}

***

Record 2
{
  "formula": "SrRe2Ru",
  "functional": "PBE-GGA",
  "state": "relaxed",
  "energy_ev_per_cell": -31.4,
  "de_polymorph_ev_per_atom": 0.528,
  "spacegroup": "Cmmm",
  "dos_ef_per_ev_cell": 5.10,
  "formation_enthalpy_0k_mev_per_atom": 1121,
  "total_magnetization_mub_per_fu": 0.0,
  "lattice_angstrom": [[5.5158, 0.0113, 0.0000], [-2.9014, 4.6911, 0.0000], [0.0000, 0.0000, 2.7312]],
  "species": ["Ru", "Re", "Re", "Sr"],
  "frac_coords": [[0.5000, 0.0000, 0.5000], [0.0000, 0.0000, 0.0000], [0.5000, 0.5000, 0.0000], [0.0000, 0.5000, 0.5000]]
}

***

Record 3
{
  "formula": "ZrTiS2",
  "functional": "PBE-GGA",
  "state": "relaxed",
  "energy_ev_per_cell": -29.5,
  "de_polymorph_ev_per_atom": 0.194,
  "spacegroup": "Fm-3m",
  "dos_ef_per_ev_cell": 0.17,
  "total_magnetization_mub_per_fu": 0.0,
  "lattice_angstrom": [[0.0000, 3.1528, 3.1528], [3.1528, 0.0000, 3.1528], [3.1528, 3.1528, 0.0000]],
  "species": ["Zr", "S", "Ti", "S"],
  "frac_coords": [[0.5000, 0.5000, 0.5000], [0.2500, 0.2500, 0.2500], [0.0000, 0.0000, 0.0000], [0.7500, 0.7500, 0.7500]]
}

***

Record 4
{
  "formula": "Pm2Y4Sc",
  "functional": "PBE-GGA",
  "state": "relaxed",
  "energy_ev_per_cell": -80.9,
  "de_polymorph_ev_per_atom": 0.157,
  "spacegroup": "C2",
  "dos_ef_per_ev_cell": 19.24,
  "formation_enthalpy_0k_mev_per_atom": 180,
  "total_magnetization_mub_per_fu": 0.0,
  "lattice_angstrom": [[-2.5174, -2.8264, -8.0006], [5.6441, -6.5366, 1.9135], [-7.9107, 2.5935, 2.9832]],
  "species": ["Y", "Sc", "Y", "Y", "Y", "Pm", "Pm", "Y", "Y", "Y", "Pm", "Sc", "Pm", "Y"],
  "frac_coords": [[0.9711, 0.6948, 0.2333], [0.1480, 0.2496, 0.1006], [0.7943, 0.0190, 0.7316], [0.8861, 0.1524, 0.2739], [0.3639, 0.1373, 0.7666], [0.6521, 0.2602, 0.6051], [0.6252, 0.3572, 0.2321], [0.3768, 0.6907, 0.3292], [0.4558, 0.6877, 0.7250], [0.8733, 0.7022, 0.8140], [0.1253, 0.3812, 0.7563], [0.1016, 0.7022, 0.6010], [0.5975, 0.7026, 0.1078], [0.2789, 0.0128, 0.2235]]
}

***

Record 5
{
  "formula": "Zn2IrCl",
  "functional": "PBE-GGA",
  "state": "relaxed",
  "energy_ev_per_cell": -11.4,
  "de_polymorph_ev_per_atom": 0.721,
  "spacegroup": "F-43m",
  "dos_ef_per_ev_cell": 0.65,
  "total_magnetization_mub_per_fu": 0.0,
  "lattice_angstrom": [[-4.4471, 0.2895, 0.1438], [-2.4017, -3.3753, 1.6496], [-2.0793, 0.4495, 3.9186]],
  "species": ["Cl", "Zn", "Ir", "Zn"],
  "frac_coords": [[0.5000, 0.5000, 0.5000], [0.2500, 0.2500, 0.2500], [0.7500, 0.7500, 0.7500], [0.0000, 0.0000, 0.0000]]
}

***

Record 6
{
  "formula": "La2PrPa",
  "functional": "PBE-GGA",
  "state": "relaxed",
  "energy_ev_per_cell": -23.1,
  "de_polymorph_ev_per_atom": 0.141,
  "spacegroup": "P4/mmm",
  "dos_ef_per_ev_cell": 6.88,
  "formation_enthalpy_0k_mev_per_atom": 270,
  "total_magnetization_mub_per_fu": 0.0,
  "lattice_angstrom": [[-0.9544, 2.3087, 4.3298], [-4.8750, 0.3800, -1.2772], [-0.9190, -4.4664, 2.1789]],
  "species": ["Pa", "La", "Pr", "La"],
  "frac_coords": [[0.5000, 0.5000, 0.5000], [0.0000, 0.5000, 0.0000], [0.5000, 0.0000, 0.0000], [0.0000, 0.0000, 0.5000]]
}

***

Record 7
{
  "formula": "PmDyBiPb",
  "functional": "PBE-GGA",
  "state": "relaxed",
  "energy_ev_per_cell": -18.9,
  "de_polymorph_ev_per_atom": 0.138,
  "spacegroup": "F-43m",
  "dos_ef_per_ev_cell": 6.03,
  "formation_enthalpy_0k_mev_per_atom": -484,
  "total_magnetization_mub_per_fu": 0.0,
  "lattice_angstrom": [[-1.1655, 3.5982, 4.0512], [2.6955, -0.3003, 4.8333], [3.6754, 3.9152, 1.3712]],
  "species": ["Dy", "Pm", "Bi", "Pb"],
  "frac_coords": [[0.0000, 0.0000, 0.0000], [0.5000, 0.5000, 0.5000], [0.7500, 0.7500, 0.7500], [0.2500, 0.2500, 0.2500]]
}

***

Record 8
{
  "formula": "HfMgSi2",
  "functional": "PBE-GGA",
  "state": "relaxed",
  "energy_ev_per_cell": -43.7,
  "spacegroup": "I-42d",
  "dos_ef_per_ev_cell": 2.97,
  "total_magnetization_mub_per_fu": 0.0,
  "lattice_angstrom": [[7.1826, 0.0000, 0.0000], [0.0000, 7.1826, 0.0000], [3.5913, 3.5913, 2.9339]],
  "species": ["Si", "Mg", "Si", "Hf", "Hf", "Si", "Si", "Mg"],
  "frac_coords": [[0.1333, 0.6250, 0.2500], [0.5000, 0.5000, 0.0000], [0.3750, 0.3833, 0.7500], [0.7500, 0.2500, 0.5000], [0.0000, 0.0000, 0.0000], [0.6167, 0.1250, 0.2500], [0.8750, 0.8667, 0.7500], [0.2500, 0.7500, 0.5000]]
}

***

Record 9
{
  "formula": "CeHf2Ga6",
  "functional": "PBE-GGA",
  "state": "relaxed",
  "energy_ev_per_cell": -47.2,
  "spacegroup": "Immm",
  "dos_ef_per_ev_cell": 9.29,
  "formation_enthalpy_0k_mev_per_atom": -353,
  "total_magnetization_mub_per_fu": 1.0,
  "lattice_angstrom": [[4.1872, 0.0000, 0.0000], [2.0936, 7.0913, 1.3547], [2.0936, 2.7277, 6.6844]],
  "species": ["Ga", "Ga", "Hf", "Hf", "Ga", "Ga", "Ga", "Ce", "Ga"],
  "frac_coords": [[0.6915, 0.0186, 0.5983], [0.6915, 0.5983, 0.0186], [0.1197, 0.3803, 0.3803], [0.8803, 0.6197, 0.6197], [0.3085, 0.4017, 0.9814], [0.5000, 0.3180, 0.6820], [0.5000, 0.6820, 0.3180], [0.0000, 0.0000, 0.0000], [0.3085, 0.9814, 0.4017]]
}

***

Record 10
{
  "formula": "CrIn2As",
  "functional": "PBE-GGA",
  "state": "relaxed",
  "energy_ev_per_cell": -19.3,
  "spacegroup": "P4mm",
  "dos_ef_per_ev_cell": 2.14,
  "formation_enthalpy_0k_mev_per_atom": 103,
  "total_magnetization_mub_per_fu": 1.7,
  "lattice_angstrom": [[-2.8624, -1.2889, -0.4432], [0.7422, -2.3387, 2.0077], [-2.9601, 4.4250, 6.2491]],
  "species": ["Cr", "In", "In", "As"],
  "frac_coords": [[0.5000, 0.5000, 0.7082], [0.0000, 0.0000, 0.9452], [0.5000, 0.5000, 0.2738], [0.0000, 0.0000, 0.5728]]
}

***

Record 11
{
  "formula": "MnIn2Br",
  "functional": "PBE-GGA",
  "state": "relaxed",
  "energy_ev_per_cell": -15.0,
  "de_polymorph_ev_per_atom": 0.313,
  "spacegroup": "F-43m",
  "dos_ef_per_ev_cell": 1.75,
  "total_magnetization_mub_per_fu": 4.0,
  "lattice_angstrom": [[-2.1776, -4.4252, 1.7630], [2.7942, -4.4286, 0.1155], [1.5189, -2.0192, 4.5879]],
  "species": ["In", "In", "Br", "Mn"],
  "frac_coords": [[0.2500, 0.2500, 0.2500], [0.0000, 0.0000, 0.0000], [0.5000, 0.5000, 0.5000], [0.7500, 0.7500, 0.7500]]
}

***

Record 12
{
  "formula": "TlNiPb2",
  "functional": "PBE-GGA",
  "state": "relaxed",
  "energy_ev_per_cell": -14.0,
  "de_polymorph_ev_per_atom": 0.287,
  "spacegroup": "I-4m2",
  "dos_ef_per_ev_cell": 3.33,
  "formation_enthalpy_0k_mev_per_atom": 395,
  "total_magnetization_mub_per_fu": 0.0,
  "lattice_angstrom": [[-1.0406, -4.3776, 3.3509], [4.6675, -3.1113, 0.0929], [-0.7009, 5.4920, 0.9065]],
  "species": ["Pb", "Ni", "Tl", "Pb"],
  "frac_coords": [[0.2500, 0.7500, 0.5000], [0.7500, 0.2500, 0.5000], [0.5000, 0.5000, 0.0000], [0.0000, 0.0000, 0.0000]]
}

***

Record 13
{
  "formula": "SiSb2Au",
  "functional": "PBE-GGA",
  "state": "relaxed",
  "energy_ev_per_cell": -15.5,
  "spacegroup": "Pmmm",
  "dos_ef_per_ev_cell": 1.26,
  "total_magnetization_mub_per_fu": 0.0,
  "lattice_angstrom": [[4.1619, 0.0000, 0.0000], [0.0000, 5.4007, 0.0000], [0.0000, 0.0000, 4.0581]],
  "species": ["Sb", "Sb", "Au", "Si"],
  "frac_coords": [[0.0000, 0.0000, 0.0000], [0.5000, 0.5000, 0.0000], [0.0000, 0.5000, 0.5000], [0.5000, 0.0000, 0.5000]]
}